! CsZrI3 PBE relaxed; values from VASP
! **Formation energy without anion corrections**: -953 meV per atom
! **Offset from the most stable computed form**: 0.0840 eV per atom
&SYSTEM
  ibrav = 0, nat = 10, ntyp = 3
/
ATOMIC_SPECIES
Cs 132.91 Cs.upf
Zr 91.22 Zr.upf
I 126.90 I.upf
ATOMIC_POSITIONS crystal
Cs 0.132 0.215 0.349
Cs 0.868 0.785 0.651
Zr 0.392 0.632 0.953
Zr 0.608 0.368 0.047
I 0.121 0.308 0.047
I 0.216 0.391 0.693
I 0.483 0.008 0.833
I 0.517 0.992 0.167
I 0.784 0.609 0.307
I 0.879 0.692 0.953
CELL_PARAMETERS angstrom
6.226 0.000 0.000
-2.174 6.637 0.000
-1.279 -3.185 11.228



! CaTcF6 PBE relaxed; values from VASP
! **Formation energy without anion corrections**: -2833 meV per atom
! **Offset from the most stable computed form**: 0.0000 eV per atom
&SYSTEM
  ibrav = 0, nat = 8, ntyp = 3
/
ATOMIC_SPECIES
Ca 40.08 Ca.upf
Tc 98.00 Tc.upf
F 19.00 F.upf
ATOMIC_POSITIONS crystal
Ca 0.000 0.000 0.000
Tc 0.667 0.333 0.500
F 0.364 0.039 0.729
F 0.364 0.324 0.271
F 0.676 0.039 0.271
F 0.676 0.636 0.729
F 0.961 0.324 0.729
F 0.961 0.636 0.271
CELL_PARAMETERS angstrom
5.307 0.000 0.000
-2.654 4.596 0.000
0.000 0.000 5.080



! LiLuPuOs PBE relaxed; values from VASP
! **ΔE_f**: -0.113 eV per atom
&SYSTEM
  ibrav = 0, nat = 4, ntyp = 4
/
ATOMIC_SPECIES
Li 6.94 Li.upf
Lu 174.97 Lu.upf
Pu 244.00 Pu.upf
Os 190.23 Os.upf
ATOMIC_POSITIONS crystal
Li 0.000 0.000 0.000
Lu 0.750 0.750 0.750
Pu 0.250 0.250 0.250
Os 0.500 0.500 0.500
CELL_PARAMETERS angstrom
0.000 3.413 3.413
3.413 0.000 3.413
3.413 3.413 0.000



! LaNdSm2Er4 PBE relaxed; values from VASP
! **ΔE_f**: 0.021 eV per atom
&SYSTEM
  ibrav = 0, nat = 16, ntyp = 4
/
ATOMIC_SPECIES
La 138.91 La.upf
Nd 144.24 Nd.upf
Sm 150.36 Sm.upf
Er 167.26 Er.upf
ATOMIC_POSITIONS crystal
La 0.000 0.000 0.000
La 0.500 0.000 0.000
Nd 0.000 0.000 0.500
Nd 0.000 0.500 0.000
Sm 0.000 0.500 0.500
Sm 0.500 0.000 0.500
Sm 0.500 0.500 0.000
Sm 0.500 0.500 0.500
Er 0.251 0.252 0.252
Er 0.251 0.252 0.748
Er 0.251 0.748 0.252
Er 0.251 0.748 0.748
Er 0.749 0.252 0.252
Er 0.749 0.252 0.748
Er 0.749 0.748 0.252
Er 0.749 0.748 0.748
CELL_PARAMETERS angstrom
7.226 0.000 0.000
0.000 9.996 0.000
-0.013 0.000 7.244



! U6P5Cl PBE relaxed; values from VASP
! **Formation energy without anion corrections**: -935 meV per atom
&SYSTEM
  ibrav = 0, nat = 12, ntyp = 3
/
ATOMIC_SPECIES
U 238.03 U.upf
P 30.97 P.upf
Cl 35.45 Cl.upf
ATOMIC_POSITIONS crystal
U 0.077 0.416 0.747
U 0.246 0.246 0.252
U 0.416 0.077 0.747
U 0.584 0.923 0.253
U 0.754 0.754 0.748
U 0.923 0.584 0.253
P 0.000 0.000 0.500
P 0.167 0.833 0.000
P 0.335 0.665 0.500
P 0.665 0.335 0.500
P 0.833 0.167 0.000
Cl 0.500 0.500 0.000
CELL_PARAMETERS angstrom
3.398 -5.892 0.000
3.398 5.892 0.000
-2.272 0.000 6.402



! TaNbMo4 PBE relaxed; values from VASP
! **ΔE_f**: -0.116 eV per atom
! **Offset from the most stable computed form**: 0.0392 eV per atom
&SYSTEM
  ibrav = 0, nat = 6, ntyp = 3
/
ATOMIC_SPECIES
Ta 180.95 Ta.upf
Nb 92.91 Nb.upf
Mo 95.94 Mo.upf
ATOMIC_POSITIONS crystal
Ta 0.000 0.000 0.000
Nb 0.000 0.000 0.500
Mo 0.333 0.667 0.169
Mo 0.333 0.667 0.671
Mo 0.667 0.333 0.329
Mo 0.667 0.333 0.831
CELL_PARAMETERS angstrom
4.525 0.000 0.000
-2.263 3.919 0.000
0.000 0.000 5.588



! TbPr6Tm5 PBE relaxed; values from VASP
! **ΔE_f**: 0.019 eV per atom
&SYSTEM
  ibrav = 0, nat = 12, ntyp = 3
/
ATOMIC_SPECIES
Tb 158.93 Tb.upf
Pr 140.91 Pr.upf
Tm 168.93 Tm.upf
ATOMIC_POSITIONS crystal
Tb 0.000 0.000 0.000
Pr 0.084 0.833 0.251
Pr 0.251 0.500 0.751
Pr 0.417 0.167 0.251
Pr 0.583 0.833 0.749
Pr 0.749 0.500 0.249
Pr 0.916 0.167 0.749
Tm 0.167 0.667 0.500
Tm 0.333 0.333 0.000
Tm 0.500 0.000 0.500
Tm 0.667 0.667 0.000
Tm 0.833 0.333 0.500
CELL_PARAMETERS angstrom
-2.576 5.009 7.706
2.576 -5.009 7.706
2.576 5.009 -7.706



! Er3AlFe8 PBE relaxed; values from VASP
! **ΔE_f**: -0.140 eV per atom
&SYSTEM
  ibrav = 0, nat = 12, ntyp = 3
/
ATOMIC_SPECIES
Er 167.26 Er.upf
Al 26.98 Al.upf
Fe 55.84 Fe.upf
ATOMIC_POSITIONS crystal
Er 0.000 0.000 0.000
Er 0.127 0.127 0.127
Er 0.621 0.621 0.621
Al 0.498 0.498 0.498
Fe 0.060 0.060 0.559
Fe 0.060 0.559 0.060
Fe 0.068 0.563 0.563
Fe 0.312 0.312 0.312
Fe 0.559 0.060 0.060
Fe 0.563 0.068 0.563
Fe 0.563 0.563 0.068
Fe 0.812 0.812 0.812
CELL_PARAMETERS angstrom
2.506 1.447 8.171
-2.506 1.447 8.171
0.000 -2.893 8.171



! BeCr2Fe5Re2 PBE relaxed; values from VASP
! **ΔE_f**: 0.275 eV per atom
&SYSTEM
  ibrav = 0, nat = 20, ntyp = 4
/
ATOMIC_SPECIES
Be 9.01 Be.upf
Cr 52.00 Cr.upf
Fe 55.84 Fe.upf
Re 186.21 Re.upf
ATOMIC_POSITIONS crystal
Be 0.000 0.000 0.000
Be 0.500 0.500 0.000
Cr 0.139 0.361 0.000
Cr 0.361 0.861 0.000
Cr 0.639 0.139 0.000
Cr 0.861 0.639 0.000
Fe 0.000 0.500 0.500
Fe 0.063 0.179 0.500
Fe 0.179 0.937 0.500
Fe 0.321 0.437 0.500
Fe 0.437 0.679 0.500
Fe 0.500 0.000 0.500
Fe 0.563 0.321 0.500
Fe 0.679 0.563 0.500
Fe 0.821 0.063 0.500
Fe 0.937 0.821 0.500
Re 0.175 0.675 0.000
Re 0.325 0.175 0.000
Re 0.675 0.825 0.000
Re 0.825 0.325 0.000
CELL_PARAMETERS angstrom
9.233 0.000 0.000
0.000 9.233 0.000
0.000 0.000 2.699



! PuHgPt PBE relaxed; values from VASP
! **ΔE_f**: -0.408 eV per atom
&SYSTEM
  ibrav = 0, nat = 3, ntyp = 3
/
ATOMIC_SPECIES
Pu 244.00 Pu.upf
Hg 200.59 Hg.upf
Pt 195.08 Pt.upf
ATOMIC_POSITIONS crystal
Pu 0.000 0.000 0.000
Hg 0.667 0.333 0.500
Pt 0.333 0.667 0.500
CELL_PARAMETERS angstrom
4.928 0.000 0.000
-2.464 4.268 0.000
0.000 0.000 3.031



! CaBPd3 PBE relaxed; values from VASP
! **ΔE_f**: -0.419 eV per atom
&SYSTEM
  ibrav = 0, nat = 20, ntyp = 3
/
ATOMIC_SPECIES
Ca 40.08 Ca.upf
B 10.81 B.upf
Pd 106.42 Pd.upf
ATOMIC_POSITIONS crystal
Ca 0.123 0.877 0.750
Ca 0.285 0.715 0.250
Ca 0.715 0.285 0.750
Ca 0.877 0.123 0.250
B 0.151 0.298 0.650
B 0.298 0.151 0.150
B 0.702 0.849 0.850
B 0.849 0.702 0.350
Pd 0.101 0.478 0.366
Pd 0.132 0.320 0.946
Pd 0.320 0.132 0.446
Pd 0.336 0.501 0.823
Pd 0.478 0.101 0.866
Pd 0.499 0.664 0.677
Pd 0.501 0.336 0.323
Pd 0.522 0.899 0.134
Pd 0.664 0.499 0.177
Pd 0.680 0.868 0.554
Pd 0.868 0.680 0.054
Pd 0.899 0.522 0.634
CELL_PARAMETERS angstrom
6.086 -4.484 0.000
6.086 4.484 0.000
-3.611 0.000 6.178



! CaIn2Sb PBE relaxed; values from VASP
! **Formation energy without anion corrections**: -413 meV per atom
&SYSTEM
  ibrav = 0, nat = 4, ntyp = 3
/
ATOMIC_SPECIES
Ca 40.08 Ca.upf
In 114.82 In.upf
Sb 121.76 Sb.upf
ATOMIC_POSITIONS crystal
Ca 0.000 0.000 0.000
In 0.000 0.500 0.500
In 0.500 0.000 0.500
Sb 0.500 0.500 0.000
CELL_PARAMETERS angstrom
4.636 0.000 0.000
0.000 4.705 0.000
0.000 0.000 5.027



! SiMoOs3 PBE relaxed; values from VASP
! **Formation energy without anion corrections**: 2372 meV per atom
! **Offset from the most stable computed form**: 1.1956 eV per atom
&SYSTEM
  ibrav = 0, nat = 5, ntyp = 3
/
ATOMIC_SPECIES
Si 28.09 Si.upf
Mo 95.94 Mo.upf
Os 190.23 Os.upf
ATOMIC_POSITIONS crystal
Si 0.000 0.000 0.000
Mo 0.500 0.500 0.500
Os 0.000 0.500 0.500
Os 0.500 0.000 0.500
Os 0.500 0.500 0.000
CELL_PARAMETERS angstrom
4.690 0.000 0.000
0.000 4.690 0.000
0.000 0.000 4.690



! LaTb2F11 PBE relaxed; values from VASP
! **Formation energy without anion corrections**: -3455 meV per atom
&SYSTEM
  ibrav = 0, nat = 28, ntyp = 3
/
ATOMIC_SPECIES
La 138.91 La.upf
Tb 158.93 Tb.upf
F 19.00 F.upf
ATOMIC_POSITIONS crystal
La 0.250 0.250 0.000
La 0.750 0.750 0.000
Tb 0.189 0.657 0.845
Tb 0.311 0.157 0.468
Tb 0.689 0.843 0.532
Tb 0.811 0.343 0.155
F 0.000 0.500 0.500
F 0.036 0.969 0.281
F 0.051 0.342 0.133
F 0.188 0.469 0.933
F 0.195 0.390 0.586
F 0.209 0.918 0.867
F 0.291 0.158 0.708
F 0.305 0.890 0.195
F 0.312 0.245 0.281
F 0.449 0.582 0.292
F 0.464 0.745 0.933
F 0.500 0.000 0.500
F 0.536 0.255 0.067
F 0.551 0.418 0.708
F 0.688 0.755 0.719
F 0.695 0.110 0.805
F 0.709 0.842 0.292
F 0.791 0.082 0.133
F 0.805 0.610 0.414
F 0.812 0.531 0.067
F 0.949 0.658 0.867
F 0.964 0.031 0.719
CELL_PARAMETERS angstrom
-4.244 5.196 5.897
4.244 -5.196 5.897
4.244 5.196 -5.897



! Pr5HgRh2 PBE relaxed; values from VASP
! **ΔE_f**: -0.504 eV per atom
! **Offset from the most stable computed form**: 0.0000 eV per atom
&SYSTEM
  ibrav = 0, nat = 16, ntyp = 3
/
ATOMIC_SPECIES
Pr 140.91 Pr.upf
Hg 200.59 Hg.upf
Rh 102.91 Rh.upf
ATOMIC_POSITIONS crystal
Pr 0.000 0.000 0.000
Pr 0.028 0.528 0.826
Pr 0.202 0.028 0.500
Pr 0.298 0.798 0.826
Pr 0.472 0.298 0.500
Pr 0.500 0.500 0.000
Pr 0.528 0.702 0.500
Pr 0.702 0.202 0.174
Pr 0.798 0.972 0.500
Pr 0.972 0.472 0.174
Hg 0.250 0.250 0.000
Hg 0.750 0.750 0.000
Rh 0.135 0.365 0.500
Rh 0.365 0.865 0.231
Rh 0.635 0.135 0.769
Rh 0.865 0.635 0.500
CELL_PARAMETERS angstrom
-4.039 4.039 6.923
4.039 -4.039 6.923
4.039 4.039 -6.923



! KRbSr2 PBE relaxed; values from VASP
! **ΔE_f**: 0.149 eV per atom
! **Offset from the most stable computed form**: 0.0819 eV per atom
&SYSTEM
  ibrav = 0, nat = 4, ntyp = 3
/
ATOMIC_SPECIES
K 39.10 K.upf
Rb 85.47 Rb.upf
Sr 87.62 Sr.upf
ATOMIC_POSITIONS crystal
K 0.000 0.000 0.000
Rb 0.000 0.000 0.500
Sr 0.500 0.500 0.240
Sr 0.500 0.500 0.760
CELL_PARAMETERS angstrom
4.317 0.000 0.000
0.000 4.317 0.000
0.000 0.000 14.030



! K2CoAu PBE relaxed; values from VASP
! **ΔE_f**: 0.266 eV per atom
! **Offset from the most stable computed form**: 0.0000 eV per atom
&SYSTEM
  ibrav = 0, nat = 4, ntyp = 3
/
ATOMIC_SPECIES
K 39.10 K.upf
Co 58.93 Co.upf
Au 196.97 Au.upf
ATOMIC_POSITIONS crystal
K 0.000 0.000 0.000
K 0.171 0.171 0.521
Co 0.752 0.752 0.260
Au 0.419 0.419 0.260
CELL_PARAMETERS angstrom
3.785 -2.184 0.000
3.785 2.184 0.000
-2.484 0.000 8.876



! Pm3DyZr2N6 PBE relaxed; values from VASP
! **Formation energy without anion corrections**: -1593 meV per atom
&SYSTEM
  ibrav = 0, nat = 12, ntyp = 4
/
ATOMIC_SPECIES
Pm 145.00 Pm.upf
Dy 162.50 Dy.upf
Zr 91.22 Zr.upf
N 14.01 N.upf
ATOMIC_POSITIONS crystal
Pm 0.000 0.000 0.000
Pm 0.334 0.666 0.000
Pm 0.666 0.334 0.000
Dy 0.500 0.500 0.500
Zr 0.166 0.834 0.500
Zr 0.834 0.166 0.500
N 0.080 0.424 0.274
N 0.229 0.229 0.723
N 0.424 0.080 0.274
N 0.576 0.920 0.726
N 0.771 0.771 0.277
N 0.920 0.576 0.726
CELL_PARAMETERS angstrom
2.980 -5.160 0.000
2.980 5.160 0.000
-1.984 0.000 5.696



| no. | magnetization (μB per atom) |
| --- | --- |
| 1 | 0.00 |
| 2 | 0.37 |
| 3 | 1.39 |
| 4 | 0.00 |
| 5 | 1.04 |
| 6 | 0.00 |
| 7 | 0.00 |
| 8 | 1.11 |
| 9 | 0.08 |
| 10 | 1.91 |
| 11 | 0.00 |
| 12 | 0.00 |
| 13 | 0.00 |
| 14 | 0.15 |
| 15 | 0.00 |
| 16 | 0.00 |
| 17 | 0.48 |
| 18 | 0.00 |